Record 1
# BaIn2Br (PBE-GGA, relaxed)
# E_tot (eV per cell): -30.005
# Formation energy without anion corrections (eV per atom): -0.23
data_BaIn2Br
_chemical_formula_sum 'Ba3 In6 Br3'
_space_group_name_H-M_alt 'R -3 m'
_space_group_IT_number 166
_space_group_name_Hall '-R 3 2"'
_cell_length_a 3.8971
_cell_length_b 3.8971
_cell_length_c 31.1159
_cell_angle_alpha 90.00
_cell_angle_beta 90.00
_cell_angle_gamma 120.00
loop_
_atom_site_label
_atom_site_type_symbol
_atom_site_fract_x
_atom_site_fract_y
_atom_site_fract_z
Ba1 Ba 0.0000 0.0000 0.0000
In1 In 0.0000 0.0000 0.2402
Br1 Br 0.0000 0.0000 0.5000

---

Record 2
# K2SrIr3O12 (PBE-GGA, relaxed)
# E_tot (eV per cell): -325.629
# Formation energy without anion corrections (eV per atom): -1.03
data_K2SrIr3O12
_chemical_formula_sum 'K6 Sr3 Ir9 O36'
_space_group_name_H-M_alt 'R -3 m'
_space_group_IT_number 166
_space_group_name_Hall '-R 3 2"'
_cell_length_a 7.3146
_cell_length_b 7.3146
_cell_length_c 16.6348
_cell_angle_alpha 90.00
_cell_angle_beta 90.00
_cell_angle_gamma 120.00
loop_
_atom_site_label
_atom_site_type_symbol
_atom_site_fract_x
_atom_site_fract_y
_atom_site_fract_z
K1 K 0.0000 0.0000 0.1002
Sr1 Sr 0.0000 0.0000 0.5000
Ir1 Ir 0.0000 0.5000 0.0000
O1 O 0.0697 0.5348 0.3027
O2 O 0.0822 0.5411 0.8955

---

Record 3
# CeThMgAl (PBE-GGA, relaxed)
# E_tot (eV per cell): -75.931
# ΔH_f (0 K) (meV/atom): -73
data_CeThMgAl
_chemical_formula_sum 'Ce4 Th4 Mg4 Al4'
_space_group_name_H-M_alt 'F -4 3 m'
_space_group_IT_number 216
_space_group_name_Hall 'F -4 2 3'
_cell_length_a 7.505
_cell_length_b 7.505
_cell_length_c 7.505
_cell_angle_alpha 90.00
_cell_angle_beta 90.00
_cell_angle_gamma 90.00
loop_
_atom_site_label
_atom_site_type_symbol
_atom_site_fract_x
_atom_site_fract_y
_atom_site_fract_z
Ce1 Ce 0.000 0.000 0.000
Th1 Th 0.000 0.000 0.500
Mg1 Mg 0.250 0.250 0.750
Al1 Al 0.250 0.250 0.250

---

Record 4
# Ho3In4Cu2 (PBE-GGA, relaxed)
# E_tot (eV per cell): -72.521
# ΔH_f (0 K) (meV/atom): -376
data_Ho3In4Cu2
_chemical_formula_sum 'Ho6 In8 Cu4'
_space_group_name_H-M_alt 'C 1 2/m 1'
_space_group_IT_number 12
_space_group_name_Hall '-C 2y'
_cell_length_a 10.884
_cell_length_b 4.712
_cell_length_c 8.924
_cell_angle_alpha 90.00
_cell_angle_beta 115.35
_cell_angle_gamma 90.00
loop_
_atom_site_label
_atom_site_type_symbol
_atom_site_fract_x
_atom_site_fract_y
_atom_site_fract_z
Ho1 Ho 0.000 0.000 0.000
Ho2 Ho 0.171 0.500 0.650
In1 In 0.040 0.000 0.366
In2 In 0.227 0.500 0.079
Cu1 Cu 0.097 0.500 0.272

---

Record 5
# Co3SbAs (PBE-GGA, relaxed)
# E_tot (eV per cell): -27.440
# Formation energy without anion corrections (eV per atom): 0.53
data_Co3SbAs
_chemical_formula_sum 'Co3 Sb1 As1'
_space_group_name_H-M_alt 'P m -3 m'
_space_group_IT_number 221
_space_group_name_Hall '-P 4 2 3'
_cell_length_a 4.374
_cell_length_b 4.374
_cell_length_c 4.374
_cell_angle_alpha 90.00
_cell_angle_beta 90.00
_cell_angle_gamma 90.00
loop_
_atom_site_label
_atom_site_type_symbol
_atom_site_fract_x
_atom_site_fract_y
_atom_site_fract_z
Co1 Co 0.000 0.000 0.500
Sb1 Sb 0.500 0.500 0.500
As1 As 0.000 0.000 0.000

---

Record 6
# Pm3PuSi3 (PBE-GGA, relaxed)
# E_tot (eV per cell): -142.721
# Formation energy without anion corrections (eV per atom): -0.39
data_Pm3PuSi3
_chemical_formula_sum 'Pm9 Pu3 Si9'
_space_group_name_H-M_alt 'R 3 m'
_space_group_IT_number 160
_space_group_name_Hall 'R 3 -2"'
_cell_length_a 9.9292
_cell_length_b 9.9292
_cell_length_c 6.2566
_cell_angle_alpha 90.00
_cell_angle_beta 90.00
_cell_angle_gamma 120.00
loop_
_atom_site_label
_atom_site_type_symbol
_atom_site_fract_x
_atom_site_fract_y
_atom_site_fract_z
Pm1 Pm 0.0373 0.5186 0.0000
Pu1 Pu 0.0000 0.0000 0.9336
Si1 Si 0.0020 0.5010 0.4755